Entry i
# VNiSe2 PBE optimized geometry
# size of the total moment = 0.00 μB per formula unit
# D(E_F) = 8.0 states/eV per cell
data_VNiSe2
_chemical_formula_sum 'V2 Ni2 Se4'
_cell_length_a 6.1844
_cell_length_b 3.4860
_cell_length_c 6.6201
_cell_angle_alpha 90.00
_cell_angle_beta 105.81
_cell_angle_gamma 90.00
_space_group_name_H-M_alt 'P 1 21/m 1'
_space_group_IT_number 11
loop_
_space_group_symop_operation_xyz
'x,y,z'
'-x,-y,-z'
'-x,y+1/2,-z'
'x,-y+1/2,z'
loop_
_atom_site_label
_atom_site_type_symbol
_atom_site_fract_x
_atom_site_fract_y
_atom_site_fract_z
V1 V 0.1815 0.2500 0.4852
Ni1 Ni 0.3904 0.2500 0.8920
Se1 Se 0.0071 0.7500 0.2323
Se2 Se 0.4921 0.7500 0.7067

Entry ii
# VNiSe2 PBE optimized geometry
# size of the total moment = 2.58 μB per formula unit
# D(E_F) = 8.8 states/eV per cell
data_VNiSe2
_chemical_formula_sum 'V3 Ni3 Se6'
_cell_length_a 3.4534
_cell_length_b 3.4534
_cell_length_c 22.7478
_cell_angle_alpha 90.00
_cell_angle_beta 90.00
_cell_angle_gamma 120.00
_space_group_name_H-M_alt 'R -3 m'
_space_group_IT_number 166
_space_group_name_Hall '-R 3 2"'
loop_
_atom_site_label
_atom_site_type_symbol
_atom_site_fract_x
_atom_site_fract_y
_atom_site_fract_z
V1 V 0.0000 0.0000 0.0000
Ni1 Ni 0.0000 0.0000 0.5000
Se1 Se 0.0000 0.0000 0.1070

Entry iii
# VNiSe2 PBE optimized geometry
# size of the total moment = 0.10 μB per formula unit
# D(E_F) = 8.3 states/eV per cell
data_VNiSe2
_chemical_formula_sum 'V3 Ni3 Se6'
_cell_length_a 3.2593
_cell_length_b 3.2593
_cell_length_c 23.1914
_cell_angle_alpha 90.00
_cell_angle_beta 90.00
_cell_angle_gamma 120.00
_space_group_name_H-M_alt 'R -3 m'
_space_group_IT_number 166
_space_group_name_Hall '-R 3 2"'
loop_
_atom_site_label
_atom_site_type_symbol
_atom_site_fract_x
_atom_site_fract_y
_atom_site_fract_z
V1 V 0.0000 0.0000 0.0000
Ni1 Ni 0.0000 0.0000 0.5000
Se1 Se 0.0000 0.0000 0.4026

Entry iv
# VNiSe2 PBE optimized geometry
# size of the total moment = 0.99 μB per formula unit
# D(E_F) = 9.5 states/eV per cell
data_VNiSe2
_chemical_formula_sum 'V4 Ni4 Se8'
_cell_length_a 5.5048
_cell_length_b 5.5048
_cell_length_c 11.0944
_cell_angle_alpha 90.00
_cell_angle_beta 90.00
_cell_angle_gamma 90.00
_space_group_name_H-M_alt 'I -4 2 d'
_space_group_IT_number 122
_space_group_name_Hall 'I -4 2bw'
loop_
_atom_site_label
_atom_site_type_symbol
_atom_site_fract_x
_atom_site_fract_y
_atom_site_fract_z
V1 V 0.0000 0.0000 0.0000
Ni1 Ni 0.0000 0.0000 0.5000
Se1 Se 0.2397 0.2500 0.6250

entry i takes first place; second place is 0.168 eV/atom up.

Entry i
# VNiSe2 PBE optimized geometry
# size of the total moment = 1.74 μB per formula unit
# D(E_F) = 29.2 states/eV per cell
data_VNiSe2
_chemical_formula_sum 'V4 Ni4 Se8'
_cell_length_a 6.2608
_cell_length_b 6.2608
_cell_length_c 6.2608
_cell_angle_alpha 90.00
_cell_angle_beta 90.00
_cell_angle_gamma 90.00
_space_group_name_H-M_alt 'F m -3 m'
_space_group_IT_number 225
_space_group_name_Hall '-F 4 2 3'
loop_
_atom_site_label
_atom_site_type_symbol
_atom_site_fract_x
_atom_site_fract_y
_atom_site_fract_z
V1 V 0.0000 0.0000 0.0000
Ni1 Ni 0.0000 0.0000 0.5000
Se1 Se 0.2500 0.2500 0.2500

Entry ii
# VNiSe2 PBE optimized geometry
# size of the total moment = 0.00 μB per formula unit
# D(E_F) = 10.5 states/eV per cell
data_VNiSe2
_chemical_formula_sum 'V4 Ni4 Se8'
_cell_length_a 5.8418
_cell_length_b 3.4517
_cell_length_c 13.3131
_cell_angle_alpha 90.00
_cell_angle_beta 90.00
_cell_angle_gamma 90.00
_space_group_name_H-M_alt 'P n m a'
_space_group_IT_number 62
loop_
_space_group_symop_operation_xyz
'x,y,z'
'-x,-y,-z'
'-x+1/2,-y,z+1/2'
'x+1/2,y,-z+1/2'
'x+1/2,-y+1/2,-z+1/2'
'-x+1/2,y+1/2,z+1/2'
'-x,y+1/2,-z'
'x,-y+1/2,z'
loop_
_atom_site_label
_atom_site_type_symbol
_atom_site_fract_x
_atom_site_fract_y
_atom_site_fract_z
V1 V 0.1913 0.2500 0.0615
Ni1 Ni 0.1307 0.2500 0.8610
Se1 Se 0.1639 0.2500 0.4340
Se2 Se 0.2388 0.7500 0.1917

entry ii takes first place; second place is 0.422 eV/atom up.

Entry i
# VNi3Se PBE optimized geometry
# size of the total moment = 2.88 μB per formula unit
# D(E_F) = 6.5 states/eV per cell
data_VNi3Se
_chemical_formula_sum 'V1 Ni3 Se1'
_cell_length_a 4.3106
_cell_length_b 4.3106
_cell_length_c 4.3106
_cell_angle_alpha 90.00
_cell_angle_beta 90.00
_cell_angle_gamma 90.00
_space_group_name_H-M_alt 'P m -3 m'
_space_group_IT_number 221
_space_group_name_Hall '-P 4 2 3'
loop_
_atom_site_label
_atom_site_type_symbol
_atom_site_fract_x
_atom_site_fract_y
_atom_site_fract_z
V1 V 0.0000 0.0000 0.0000
Ni1 Ni 0.0000 0.5000 0.5000
Se1 Se 0.5000 0.5000 0.5000

Entry ii
# VNi3Se PBE optimized geometry
# size of the total moment = 0.00 μB per formula unit
# D(E_F) = 4.8 states/eV per cell
data_VNi3Se
_chemical_formula_sum 'V1 Ni3 Se1'
_cell_length_a 4.3318
_cell_length_b 4.3318
_cell_length_c 4.3318
_cell_angle_alpha 90.00
_cell_angle_beta 90.00
_cell_angle_gamma 90.00
_space_group_name_H-M_alt 'P m -3 m'
_space_group_IT_number 221
_space_group_name_Hall '-P 4 2 3'
loop_
_atom_site_label
_atom_site_type_symbol
_atom_site_fract_x
_atom_site_fract_y
_atom_site_fract_z
V1 V 0.0000 0.0000 0.0000
Ni1 Ni 0.0000 0.0000 0.5000
Se1 Se 0.5000 0.5000 0.5000

entry i takes first place; second place is 0.502 eV/atom up.